Record 1
DFT (GGA-PBE) results for a relaxed UNb3 crystal.

Results
Offset from the most stable computed form: 16.47 kJ per mole of atoms
E_form: 0.283 eV/atom
DOS(E_F): 6.28 states/eV/cell
Symmetry: Pmm2

The structure in POSCAR format:
```
UNb3
1.0
-1.9729 -0.4390 1.9368
3.2972 -1.8595 2.9372
0.9988 5.2618 2.2101
Nb U
3 1
Direct
0.5000 0.0000 0.5244
0.5000 0.5000 0.8025
0.0000 0.5000 0.2966
0.0000 0.0000 0.0432
```

---

Record 2
DFT (GGA-PBE) results for a relaxed Zr6GaTc5 crystal.

Results
E_form: -0.416 eV/atom
DOS(E_F): 7.52 states/eV/cell
Symmetry: Immm

The structure in POSCAR format:
```
Zr6GaTc5
1.0
4.4564 0.0188 -1.3005
-0.9154 5.8606 -3.0518
-0.0589 0.4069 8.0896
Ga Zr Tc
1 6 5
Direct
0.0000 0.0000 0.0000
0.8302 0.5761 0.6603
0.8302 0.0843 0.6603
0.5000 0.7390 0.0000
0.5000 0.2610 0.0000
0.1698 0.9157 0.3397
0.1698 0.4239 0.3397
0.6622 0.1622 0.3245
0.3324 0.3324 0.6648
0.0000 0.5000 0.0000
0.6676 0.6676 0.3352
0.3378 0.8378 0.6755
```

---

Record 3
DFT (GGA-PBE) results for a relaxed Mn2CrGaN crystal.

Results
Energy relative to the elements, uncorrected: -1.4 eV/f.u.
DOS(E_F): 3.57 states/eV/cell
Symmetry: P4/mmm

The structure in POSCAR format:
```
Mn2CrGaN
1.0
3.7835 0.0000 0.0000
0.0000 3.7835 0.0000
0.0000 0.0000 3.8565
Cr Mn Ga N
1 2 1 1
Direct
0.0000 0.0000 0.5000
0.0000 0.5000 0.0000
0.5000 0.0000 0.0000
0.5000 0.5000 0.5000
0.0000 0.0000 0.0000
```

---

Record 4
DFT (GGA-PBE) results for a relaxed BaSb2PbI crystal.

Results
Energy relative to the elements, uncorrected: 2.1 eV/f.u.
Offset from the most stable computed form: 57.94 kJ per mole of atoms
DOS(E_F): 6.39 states/eV/cell
Symmetry: P4/mmm

The structure in POSCAR format:
```
BaSb2PbI
1.0
-0.2991 0.8659 6.2857
4.3891 -4.5159 0.8310
4.5975 4.3972 -0.3870
Pb I Ba Sb
1 1 1 2
Direct
0.5000 0.5000 0.5000
0.0000 0.0000 0.5000
0.0000 0.0000 0.0000
0.0000 0.5000 0.0000
0.5000 0.0000 0.0000
```

---

Record 5
DFT (GGA-PBE) results for a relaxed ZrCrIr2 crystal.

Results
Offset from the most stable computed form: 10.34 kJ per mole of atoms
E_form: -0.379 eV/atom
DOS(E_F): 2.93 states/eV/cell
Symmetry: Cmmm

The structure in POSCAR format:
```
ZrCrIr2
1.0
-2.1909 0.3626 -4.0737
4.0946 -1.6825 -1.3894
-1.0612 -2.8449 0.3175
Cr Ir Zr
1 2 1
Direct
0.0000 0.5000 0.5000
0.0000 0.0000 0.0000
0.5000 0.5000 0.0000
0.5000 0.0000 0.5000
```

---

Record 6
DFT (GGA-PBE) results for a relaxed ZrBC crystal.

Results
Offset from the most stable computed form: 0.00 kJ per mole of atoms
E_form: -0.583 eV/atom
DOS(E_F): 4.75 states/eV/cell
Symmetry: P2_1/m

The structure in POSCAR format:
```
ZrBC
1.0
3.2540 0.0000 0.0000
0.0000 6.6670 0.9054
0.0000 0.8689 6.1429
Zr B C
4 4 4
Direct
0.2500 0.5719 0.7112
0.7500 0.9281 0.2888
0.7500 0.4281 0.2888
0.2500 0.0719 0.7112
0.7501 0.7678 0.9279
0.2501 0.7322 0.0721
0.2499 0.2322 0.0721
0.7499 0.2678 0.9279
0.2500 0.6677 0.3307
0.7500 0.8323 0.6693
0.7500 0.3323 0.6693
0.2500 0.1677 0.3307
```

---

Record 7
DFT (GGA-PBE) results for a relaxed Sr2BeSb crystal.

Results
Energy relative to the elements, uncorrected: 1.2 eV/f.u.
Offset from the most stable computed form: 64.98 kJ per mole of atoms
DOS(E_F): 1.33 states/eV/cell
Symmetry: I-42d

The structure in POSCAR format:
```
Sr2BeSb
1.0
5.9660 0.0000 0.0000
0.0000 5.9660 0.0000
2.9830 2.9830 9.5123
Sb Be Sr
2 2 4
Direct
0.0000 0.0000 0.0000
0.7500 0.2500 0.5000
0.5000 0.5000 0.0000
0.2500 0.7500 0.5000
0.6116 0.1250 0.2500
0.1384 0.6250 0.2500
0.3750 0.3884 0.7500
0.8750 0.8616 0.7500
```

---

Record 8
DFT (GGA-PBE) results for a relaxed Ce2DyTm crystal.

Results
Offset from the most stable computed form: 1.75 kJ per mole of atoms
E_form: 0.103 eV/atom
DOS(E_F): 10.22 states/eV/cell
Symmetry: P4/mmm

The structure in POSCAR format:
```
Ce2DyTm
1.0
-2.6545 0.5929 4.1983
0.7277 -4.7125 1.1257
4.0884 1.2081 2.4144
Tm Ce Dy
1 2 1
Direct
0.5000 0.0000 0.0000
0.0000 0.0000 0.5000
0.0000 0.5000 0.0000
0.5000 0.5000 0.5000
```

---

VASP energy (eV/atom)
-10.091; -9.261; -8.147; -2.660; -9.353; -8.733; -2.504; -5.133